This record from the Alexandria database describes a relaxed Sn8Te4Se3S crystal. The functional is GGA-PBE.

Formation energy without anion corrections (kJ/mol of atoms): -33
Total moment (μB per atom): 0.0000

Lattice parameters (Å, degrees): 8.7688 8.7688 21.4129 90.00 90.00 120.00
Space group R-3m (No. 166, hexagonal axes)
Symmetry-distinct sites (fractional):
Sn: 0.0000 0.0000 0.2443 (multiplicity 6)
Sn: 0.0051 0.5026 0.2432 (multiplicity 18)
Te: 0.0000 0.0000 0.0000 (multiplicity 3)
Te: 0.0000 0.5000 0.0000 (multiplicity 9)
Se: 0.0000 0.5000 0.5000 (multiplicity 9)
S: 0.0000 0.0000 0.5000 (multiplicity 3)